# GaCo2Te | Alexandria via LeMat-Bulk | PBE-GGA | relaxed
# **Relative energy among the computed polymorphs**: 0 meV per atom
data_GaCo2Te
_cell_length_a 6.1449
_cell_length_b 6.1449
_cell_length_c 6.1449
_cell_angle_alpha 90.00
_cell_angle_beta 90.00
_cell_angle_gamma 90.00
_space_group_name_H-M_alt 'F m -3 m'
_space_group_IT_number 225
_space_group_name_Hall '-F 4 2 3'
loop_
_atom_site_label
_atom_site_fract_x
_atom_site_fract_y
_atom_site_fract_z
Ga1 0.0000 0.0000 0.0000
Co1 0.2500 0.2500 0.2500
Te1 0.0000 0.0000 0.5000

***

# ScMo | Alexandria via LeMat-Bulk | PBE-GGA | relaxed
# **Relative energy among the computed polymorphs**: 108 meV per atom
# **ΔH_f (0 K)**: 0.2 eV per formula unit
data_ScMo
_cell_length_a 4.7794
_cell_length_b 14.3474
_cell_length_c 3.3076
_cell_angle_alpha 90.00
_cell_angle_beta 90.00
_cell_angle_gamma 90.00
_space_group_name_H-M_alt 'C m m m'
_space_group_IT_number 65
_space_group_name_Hall '-C 2 2'
loop_
_atom_site_label
_atom_site_fract_x
_atom_site_fract_y
_atom_site_fract_z
Sc1 0.0000 0.0000 0.0000
Sc2 0.0000 0.1816 0.5000
Mo1 0.0000 0.3596 0.0000
Mo2 0.0000 0.5000 0.5000

***

# Nb3B4Mo3 | Alexandria via LeMat-Bulk | PBE-GGA | relaxed
# **ΔH_f (0 K)**: -5.8 eV per formula unit
data_Nb3B4Mo3
_cell_length_a 3.2755
_cell_length_b 8.6615
_cell_length_c 8.5920
_cell_angle_alpha 90.00
_cell_angle_beta 90.00
_cell_angle_gamma 90.00
_space_group_name_H-M_alt 'A m m 2'
_space_group_IT_number 38
_space_group_name_Hall 'A 2 -2'
loop_
_atom_site_label
_atom_site_fract_x
_atom_site_fract_y
_atom_site_fract_z
Nb1 0.0000 0.0000 0.0000
Nb2 0.0000 0.1782 0.3243
B1 0.5000 0.0000 0.2139
B2 0.5000 0.0000 0.4363
B3 0.5000 0.1079 0.8208
Mo1 0.0000 0.0000 0.6468
Mo2 0.5000 0.2488 0.5746